Computed, not measured: a relaxed AgIN2O crystal at the GGA-PBE level of DFT.

```
data_AgIN2O
_chemical_formula_sum 'Ag1 I1 N2 O1'
_symmetry_space_group_name_H-M 'P 4/m m m'
_symmetry_Int_Tables_number 123
_symmetry_space_group_name_Hall '-P 4 2'
_cell_length_a 4.129
_cell_length_b 4.129
_cell_length_c 4.067
_cell_angle_alpha 90.00
_cell_angle_beta 90.00
_cell_angle_gamma 90.00
loop_
_atom_site_label
_atom_site_fract_x
_atom_site_fract_y
_atom_site_fract_z
Ag1 0.000 0.000 0.000
I1 0.500 0.500 0.500
N1 0.000 0.500 0.500
O1 0.500 0.500 0.000
```

Computed properties:
Theoretical density: 6.7 Mg/m³
M_tot: 0.23 μB per atom
Formation energy without anion corrections: 1.610 eV/atom